The following is a PBE+U calculation of crystalline VInCu2O6 at its relaxed geometry, from Alexandria via LeMat-Bulk.

extended XYZ file:
```
20
Lattice="5.599 -3.707 0.000 5.599 3.707 0.000 -2.502 0.000 6.605" Properties=species:S:1:pos:R:3 pbc="T T T"
V 3.722 2.543 4.953
V 4.973 -2.543 1.651
In 4.973 1.782 1.651
In 3.722 -1.782 4.953
Cu 2.461 0.185 2.672
Cu 1.209 -0.185 5.974
Cu 7.486 0.185 0.631
Cu 6.235 -0.185 3.933
O 0.670 0.015 1.894
O -0.581 -0.015 5.196
O 3.335 0.602 1.045
O 3.942 1.516 3.549
O 3.502 1.516 6.358
O 2.084 -0.602 4.347
O 6.612 0.602 2.257
O 5.193 -1.516 0.247
O 4.753 -1.516 3.056
O 5.360 -0.602 5.559
O 9.277 0.015 1.408
O 8.025 -0.015 4.710
```

Volume   274 Å³ per cell
Crystal system   monoclinic
Fermi-level density of states   0.33 states/eV/atom
Calculated total energy   -5.950 eV per atom